1.
This record from Alexandria via LeMat-Bulk describes an optimized crystal structure of Rb4Y3GaO8. The functional is GGA-PBE.

Properties
symmetry	C2/m
DOS at the Fermi energy	0.000	states/eV/atom
final energy	-6.457	eV per atom

a b c (Å): 6.8737 6.8737 7.6409
angles (deg): 116.74 116.74 59.96
Closest atoms and distances in Å follow each position.
Fractional positions:
1 Rb 0.0000 0.0000 0.0000  6 O 2.98-2.99
2 Rb 0.0000 0.5000 0.0000  6 O 2.88-2.90
3 Rb 0.5000 0.0000 0.0000  6 O 2.88-2.90
4 Rb 0.5000 0.5000 0.0000  6 O 2.88-2.90
5 Y 0.0000 0.0000 0.5000  6 O 2.29-2.33
6 Y 0.0000 0.5000 0.5000  6 O 2.29-2.33
7 Y 0.5000 0.0000 0.5000  6 O 2.29-2.33
8 Ga 0.5000 0.5000 0.5000  6 O 2.19-2.20
9 O 0.2253 0.2253 0.6762  3 Y 2.29
10 O 0.2424 0.7151 0.6727  1 Ga 2.19, 2 Y 2.33
11 O 0.2838 0.2838 0.3265  1 Ga 2.20, 2 Y 2.33
12 O 0.2849 0.7576 0.3273  1 Ga 2.19, 2 Y 2.33
13 O 0.7151 0.2424 0.6727  1 Ga 2.19, 2 Y 2.33
14 O 0.7162 0.7162 0.6735  1 Ga 2.20, 2 Y 2.33
15 O 0.7576 0.2849 0.3273  1 Ga 2.19, 2 Y 2.33
16 O 0.7747 0.7747 0.3238  3 Y 2.29



2.
This record from Alexandria via LeMat-Bulk describes an optimized crystal structure of RbZrGa2O6. The functional is GGA-PBE.

Properties
symmetry	C2/c
final energy	-6.510	eV per atom

a b c (Å): 7.7782 7.7782 6.5888
angles (deg): 103.67 103.67 106.57
Closest atoms and distances in Å follow each position.
Fractional positions:
1 Rb 0.1039 0.8961 0.7500  6 O 2.88-2.95
2 Rb 0.8961 0.1039 0.2500  6 O 2.88-2.95
3 Zr 0.1993 0.8007 0.2500  4 O 1.97-2.00
4 Zr 0.8007 0.1993 0.7500  4 O 1.97-2.00
5 Ga 0.2939 0.4546 0.8599  4 O 1.85-2.00
6 Ga 0.4546 0.2939 0.3599  4 O 1.85-2.00
7 Ga 0.5454 0.7061 0.6401  4 O 1.85-2.00
8 Ga 0.7061 0.5454 0.1401  4 O 1.85-2.00
9 O 0.0634 0.2506 0.7362  1 Ga 1.86, 1 Zr 2.00
10 O 0.2159 0.6486 0.9751  1 Ga 1.85, 1 Zr 1.97
11 O 0.2506 0.0634 0.2362  1 Ga 1.86, 1 Zr 2.00
12 O 0.3514 0.7841 0.5249  1 Ga 1.85, 1 Zr 1.97
13 O 0.3658 0.4292 0.5844  3 Ga 1.98-2.10
14 O 0.4292 0.3658 0.0844  3 Ga 1.98-2.10
15 O 0.5708 0.6342 0.9156  3 Ga 1.98-2.10
16 O 0.6342 0.5708 0.4156  3 Ga 1.98-2.10
17 O 0.6486 0.2159 0.4751  1 Ga 1.85, 1 Zr 1.97
18 O 0.7494 0.9366 0.7638  1 Ga 1.86, 1 Zr 2.00
19 O 0.7841 0.3514 0.0249  1 Ga 1.85, 1 Zr 1.97
20 O 0.9366 0.7494 0.2638  1 Ga 1.86, 1 Zr 2.00



3.
This record from Alexandria via LeMat-Bulk describes an optimized crystal structure of Rb2ZrGa2O6. The functional is GGA-PBE.

Properties
symmetry	C2/m
DOS at the Fermi energy	0.000	states/eV/atom
final energy	-6.300	eV per atom

a b c (Å): 5.9980 5.9980 6.9921
angles (deg): 114.06 114.06 60.05
Closest atoms and distances in Å follow each position.
Fractional positions:
1 Rb 0.2046 0.2046 0.1179  9 O 3.00-3.21
2 Rb 0.7954 0.7954 0.8821  9 O 3.00-3.21
3 Zr 0.0000 0.0000 0.5000  6 O 2.12-2.13
4 Ga 0.4024 0.4024 0.6985  3 O 1.78
5 Ga 0.5976 0.5976 0.3015  3 O 1.78
6 O 0.2302 0.2302 0.6963  1 Ga 1.78
7 O 0.2382 0.7509 0.7176  1 Ga 1.78
8 O 0.2491 0.7618 0.2824  1 Ga 1.78
9 O 0.7509 0.2382 0.7176  1 Ga 1.78
10 O 0.7618 0.2491 0.2824  1 Ga 1.78
11 O 0.7698 0.7698 0.3037  1 Ga 1.78



4.
This record from Alexandria via LeMat-Bulk describes an optimized crystal structure of RbZrGaO4. The functional is GGA-PBE.

Properties
symmetry	P2_1/m
DOS at the Fermi energy	0.000	states/eV/atom
final energy	-6.978	eV per atom

a b c (Å): 5.5884 5.8359 7.4095
angles (deg): 90.00 102.86 90.00
Closest atoms and distances in Å follow each position.
Fractional positions:
1 Rb 0.1682 0.2500 0.0855  2 O 2.69-2.98
2 Rb 0.8318 0.7500 0.9145  2 O 2.69-2.98
3 Zr 0.1669 0.7500 0.4741  6 O 2.05-2.26
4 Zr 0.8331 0.2500 0.5259  6 O 2.05-2.26
5 Ga 0.3910 0.2500 0.6619  4 O 1.84-1.90
6 Ga 0.6090 0.7500 0.3381  4 O 1.84-1.90
7 O 0.1484 0.0215 0.6632  1 Ga 1.90
8 O 0.1484 0.4785 0.6632  1 Ga 1.90
9 O 0.2835 0.7500 0.2174  1 Ga 1.84
10 O 0.4600 0.2500 0.4268  1 Ga 1.87, 1 Zr 2.05
11 O 0.5400 0.7500 0.5732  1 Ga 1.87, 1 Zr 2.05
12 O 0.7165 0.2500 0.7826  1 Ga 1.84
13 O 0.8516 0.5215 0.3368  1 Ga 1.90
14 O 0.8516 0.9785 0.3368  1 Ga 1.90



5.
This record from Alexandria via LeMat-Bulk describes an optimized crystal structure of Ga3ReO. The functional is GGA-PBE.

Properties
symmetry	Pm-3m
energy above the lowest structure with this stoichiometry	11.70	kcal/mol of atoms
DOS at the Fermi energy	1.682	states/eV/atom
final energy	-4.620	eV per atom

a b c (Å): 4.8585 4.8585 4.8585
angles (deg): 90.00 90.00 90.00
Closest atoms and distances in Å follow each position.
Fractional positions:
1 Ga 0.0000 0.0000 0.5000  2 Re 2.43
2 Ga 0.0000 0.5000 0.0000  2 Re 2.43
3 Ga 0.5000 0.0000 0.0000  2 Re 2.43
4 Re 0.0000 0.0000 0.0000  6 Ga 2.43
5 O 0.5000 0.5000 0.5000  12 Ga 3.44



6.
This record from Alexandria via LeMat-Bulk describes an optimized crystal structure of GaReO6. The functional is GGA-PBE.

Properties
symmetry	C2/m
DOS at the Fermi energy	0.855	states/eV/atom
final energy	-6.540	eV per atom

a b c (Å): 5.1820 5.1820 4.8300
angles (deg): 96.21 96.21 124.48
Closest atoms and distances in Å follow each position.
Fractional positions:
1 Ga 0.0000 0.0000 0.0000  6 O 1.92-2.04
2 Re 0.5000 0.5000 0.5000  6 O 1.87-1.89
3 O 0.1265 0.4044 0.2665  1 Re 1.89, 1 Ga 2.04
4 O 0.2539 0.2539 0.7486  1 Re 1.87, 1 Ga 1.92
5 O 0.4044 0.1265 0.2665  1 Re 1.89, 1 Ga 2.04
6 O 0.5956 0.8735 0.7335  1 Re 1.89, 1 Ga 2.04
7 O 0.7461 0.7461 0.2514  1 Re 1.87, 1 Ga 1.92
8 O 0.8735 0.5956 0.7335  1 Re 1.89, 1 Ga 2.04



7.
This record from Alexandria via LeMat-Bulk describes an optimized crystal structure of GaReO2. The functional is GGA-PBE.

Properties
symmetry	I-42d
DOS at the Fermi energy	0.248	states/eV/atom
final energy	-6.766	eV per atom

a b c (Å): 6.5557 6.5557 6.5557
angles (deg): 136.54 136.54 63.15
Closest atoms and distances in Å follow each position.
Fractional positions:
1 Ga 0.0000 0.0000 0.0000  4 O 2.66
2 Ga 0.7500 0.2500 0.5000  4 O 2.66
3 Re 0.2500 0.7500 0.5000  4 O 1.92
4 Re 0.5000 0.5000 0.0000  4 O 1.92
5 O 0.2697 0.6250 0.1447  2 Re 1.92
6 O 0.3750 0.5197 0.6447  2 Re 1.92
7 O 0.4803 0.1250 0.8553  2 Re 1.92
8 O 0.8750 0.7303 0.3553  2 Re 1.92



8.
This record from Alexandria via LeMat-Bulk describes an optimized crystal structure of Ga3ReO. The functional is GGA-PBE.

Properties
symmetry	Pm-3m
energy above the lowest structure with this stoichiometry	0.00	kcal/mol of atoms
DOS at the Fermi energy	0.637	states/eV/atom
final energy	-5.127	eV per atom

a b c (Å): 4.1532 4.1532 4.1532
angles (deg): 90.00 90.00 90.00
Closest atoms and distances in Å follow each position.
Fractional positions:
1 Ga 0.0000 0.0000 0.5000  2 O 2.08
2 Ga 0.0000 0.5000 0.0000  2 O 2.08
3 Ga 0.5000 0.0000 0.0000  2 O 2.08
4 Re 0.5000 0.5000 0.5000  12 Ga 2.94
5 O 0.0000 0.0000 0.0000  6 Ga 2.08



9.
This record from Alexandria via LeMat-Bulk describes an optimized crystal structure of GaRe3O. The functional is GGA-PBE.

Properties
symmetry	Pm-3m
energy above the lowest structure with this stoichiometry	0.00	kcal/mol of atoms
DOS at the Fermi energy	0.977	states/eV/atom
final energy	-8.480	eV per atom

a b c (Å): 4.0974 4.0974 4.0974
angles (deg): 90.00 90.00 90.00
Closest atoms and distances in Å follow each position.
Fractional positions:
1 Ga 0.0000 0.0000 0.0000  12 Re 2.90
2 Re 0.0000 0.5000 0.5000  2 O 2.05
3 Re 0.5000 0.0000 0.5000  2 O 2.05
4 Re 0.5000 0.5000 0.0000  2 O 2.05
5 O 0.5000 0.5000 0.5000  6 Re 2.05



10.
This record from Alexandria via LeMat-Bulk describes an optimized crystal structure of GaRe2O8. The functional is GGA-PBE.

Properties
symmetry	C2/m
DOS at the Fermi energy	0.146	states/eV/atom
final energy	-7.568	eV per atom

a b c (Å): 6.3951 6.3951 5.2054
angles (deg): 96.97 96.97 75.87
Closest atoms and distances in Å follow each position.
Fractional positions:
1 Ga 0.0000 0.0000 0.0000  6 O 2.02-2.14
2 Re 0.1965 0.1965 0.6450  4 O 1.72-1.79
3 Re 0.8035 0.8035 0.3550  4 O 1.72-1.79
4 O 0.0528 0.7187 0.2060  1 Re 1.79
5 O 0.1540 0.1540 0.2976  1 Re 1.79
6 O 0.2813 0.9472 0.7940  1 Re 1.79
7 O 0.3671 0.3671 0.7441  1 Re 1.72
8 O 0.6329 0.6329 0.2559  1 Re 1.72
9 O 0.7187 0.0528 0.2060  1 Re 1.79
10 O 0.8460 0.8460 0.7024  1 Re 1.79
11 O 0.9472 0.2813 0.7940  1 Re 1.79



11.
This record from Alexandria via LeMat-Bulk describes an optimized crystal structure of GaReO2. The functional is GGA-PBE.

Properties
symmetry	R-3m
DOS at the Fermi energy	0.240	states/eV/atom
final energy	-7.392	eV per atom

a b c (Å): 6.5043 6.5043 6.5043
angles (deg): 25.18 25.18 25.18
Closest atoms and distances in Å follow each position.
Fractional positions:
1 Ga 0.0000 0.0000 0.0000  6 O 1.96
2 Re 0.5000 0.5000 0.5000  2 O 2.07
3 O 0.3906 0.3906 0.3906  3 Ga 1.96, 1 Re 2.07
4 O 0.6094 0.6094 0.6094  3 Ga 1.96, 1 Re 2.07



12.
This record from Alexandria via LeMat-Bulk describes an optimized crystal structure of GaReRuO2. The functional is GGA-PBE.

Properties
symmetry	P4/mmm
DOS at the Fermi energy	0.869	states/eV/atom
final energy	-6.332	eV per atom

a b c (Å): 3.6573 3.6573 5.3562
angles (deg): 90.00 90.00 90.00
Closest atoms and distances in Å follow each position.
Fractional positions:
1 Ga 0.0000 0.0000 0.0000  4 O 1.83
2 Re 0.5000 0.5000 0.5000  4 Ru 2.59
3 Ru 0.0000 0.0000 0.5000  4 Re 2.59, 2 Ga 2.68
4 O 0.0000 0.5000 0.0000  2 Ga 1.83
5 O 0.5000 0.0000 0.0000  2 Ga 1.83



E_form (uncorrected)? In order: -3605.1; -1908.9; -2220.6; -1589.3; 326.9; -684.4; -161.3; 82.2; 282.9; -1510.8; -403.1; 290.2 kJ/mol of formula units.